Entry from Alexandria: a geometry-optimized Tl2BiPb structure (PBE).

Results
Formation enthalpy at 0 K: -0.01 eV/atom
Space-group type: P2_1/m, No. 11
Total magnetic moment: 0.00 μB per cell
Energy relative to the lowest polymorph listed for this composition: 6 meV per atom

Lattice parameters (Å, degrees): 7.020 5.138 7.519 90.00 107.12 90.00
Fractional coordinates of all 8 atoms:
Tl 0.067 0.250 0.350
Tl 0.421 0.750 0.624
Tl 0.579 0.250 0.376
Tl 0.933 0.750 0.650
Bi 0.255 0.750 0.134
Bi 0.745 0.250 0.866
Pb 0.268 0.250 0.866
Pb 0.732 0.750 0.134